# 1
PBE Pr3Co, relaxed; energy relative to the elements = -0.04 eV per atom; total magnetization = 0.0 μB/cell
1.0
7.160 0.000 0.000
0.000 10.028 0.000
0.000 0.000 6.494
Pr Co
12 4
Cartesian
0.334 2.507 0.970
1.210 0.708 4.388
1.210 4.305 4.388
2.370 5.722 1.141
2.370 9.319 1.141
3.246 7.521 4.217
3.914 2.507 2.277
4.790 0.708 5.353
4.790 4.305 5.353
5.950 5.722 2.106
5.950 9.319 2.106
6.826 7.521 5.525
0.833 7.521 2.840
2.747 2.507 6.087
4.413 7.521 0.407
6.327 2.507 3.654

=====

# 2
PBE Pr3Co4, relaxed; energy relative to the elements = -0.05 eV per atom; total magnetization = 2.3 μB/cell
1.0
-1.984 2.117 8.722
1.984 -2.117 8.722
1.984 2.117 -8.722
Pr Co
3 4
Cartesian
0.000 0.000 0.000
1.984 0.000 3.215
0.000 2.117 5.507
1.984 0.000 6.460
0.000 0.000 7.565
0.000 0.000 9.880
0.000 2.117 2.262

=====

# 3
PBE Pr5Co2, relaxed; energy relative to the elements = -0.05 eV per atom; total magnetization = 0.0 μB/cell
1.0
8.452 -3.274 0.000
8.452 3.274 0.000
-0.768 0.000 7.095
Pr Co
10 4
Cartesian
7.876 2.830 5.321
3.352 0.450 2.277
2.968 -0.450 5.824
6.782 0.671 0.609
9.737 0.671 2.938
6.398 -0.671 4.156
9.353 -0.671 6.486
13.167 0.450 1.271
12.783 -0.450 4.818
8.260 -2.830 1.774
6.268 1.929 3.011
10.252 1.929 0.537
5.883 -1.929 6.558
9.868 -1.929 4.084

=====

Number 3 is which compound? Pr5Co2

=====

The highest energy relative to the elements belongs to which entry? Pr3Co

=====

Number 3 is which compound? Pr5Co2